LaRh2O | PBE | optimized geometry

## Properties
Calculated volume ... 19.59 A^3/atom
Total energy ... -6.795 eV/atom

Structure (CIF):
```
data_LaRh2O
_symmetry_space_group_name_H-M 'I -4 2 d'
_symmetry_Int_Tables_number 122
_symmetry_space_group_name_Hall 'I -4 2bw'
_cell_length_a 4.910
_cell_length_b 4.910
_cell_length_c 13.000
_cell_angle_alpha 90.00
_cell_angle_beta 90.00
_cell_angle_gamma 90.00
loop_
_atom_site_label
_atom_site_type_symbol
_atom_site_fract_x
_atom_site_fract_y
_atom_site_fract_z
La1 La 0.000 0.000 0.000
Rh1 Rh 0.063 0.250 0.625
O1 O 0.000 0.000 0.500
```